Entry from Alexandria via LeMat-Bulk: a relaxed Y3Ir crystal (GGA-PBEsol).

Lattice parameters (Å, degrees): 4.0004 4.8078 5.0602 90.00 90.00 90.00
Element x y z (fractional)
Y  0.0000  0.0000  0.0000
Y  0.0000  0.5000  0.4899
Y  0.5000  0.5000  0.9593
Ir  0.5000  0.0000  0.5956

Results
calculated volume	24.33	Å³/atom
DOS(E_F)	2.4	states/eV/cell
SG	No. 25
formation enthalpy at 0 K	-18	kJ/mol of atoms

***

Entry from Alexandria via LeMat-Bulk: a relaxed CaYRe2 crystal (GGA-PBEsol).

Lattice parameters (Å, degrees): 2.9048 4.7872 6.1031 90.00 99.24 90.00
Element x y z (fractional)
Ca  0.0000  0.0000  0.0000
Y  0.5000  0.0000  0.5000
Re  0.1952  0.5000  0.6889
Re  0.8048  0.5000  0.3111

Results
calculated volume	20.94	Å³/atom
DOS(E_F)	4.2	states/eV/cell
SG	No. 10
formation enthalpy at 0 K	65	kJ/mol of atoms